Entry 1:
The following is a DFT calculation (PBE) of a relaxed Li2Zn3Pd crystal.

Geometry as POSCAR:
```
Li2Zn3Pd
1.0
2.7804 0.0000 0.0000
1.3902 6.3837 0.4320
1.3902 1.7968 11.0134
Li Zn Pd
4 6 2
Direct
0.8334 0.4442 0.8890
0.1666 0.5558 0.1110
0.6199 0.2364 0.5237
0.3801 0.7636 0.4763
0.0564 0.1332 0.7540
0.9436 0.8668 0.2460
0.6060 0.8543 0.9336
0.3940 0.1457 0.0664
0.7460 0.8166 0.6914
0.2540 0.1834 0.3086
0.4190 0.4806 0.6814
0.5810 0.5194 0.3186
```

* SG: C2/m
* energy of formation from the pure elements: -0.2252 eV per atom
* ΔE to the lowest computed polymorph: 114 meV/atom
* crystal system: monoclinic
* total DFT energy (no corrections): -2.37 eV/atom



Entry 2:
The following is a DFT calculation (PBE) of a relaxed Sm2ZnSn4 crystal.

Geometry as POSCAR:
```
Sm2ZnSn4
1.0
4.5044 0.0000 0.0000
0.0000 4.5044 0.0000
0.0000 0.0000 9.1485
Sm Zn Sn
2 1 4
Direct
0.5000 0.0000 0.7759
0.0000 0.5000 0.2241
0.5000 0.5000 0.0000
0.5000 0.0000 0.1761
0.0000 0.5000 0.8239
0.5000 0.5000 0.5000
0.0000 0.0000 0.5000
```

* SG: P-4m2
* energy of formation from the pure elements: -0.4564 eV per atom
* crystal system: tetragonal
* total DFT energy (no corrections): -4.27 eV/atom



Entry 3:
The following is a DFT calculation (PBE) of a relaxed TbYCSe crystal.

Geometry as POSCAR:
```
TbYCSe
1.0
-3.6588 0.7954 -0.1568
1.1293 -3.5459 0.4423
1.9492 1.4537 6.6673
Tb Y C Se
1 1 1 1
Direct
0.5034 0.1497 0.6683
0.1033 0.9497 0.0682
0.3045 0.5500 0.8699
0.9667 0.3815 0.3632
```

* SG: R3m
* formation energy from raw total energies: -1102 meV/atom
* crystal system: trigonal
* total DFT energy (no corrections): -7.05 eV/atom



Entry 4:
The following is a DFT calculation (PBE) of a relaxed CePu3Th4S8 crystal.

Geometry as POSCAR:
```
CePu3Th4S8
1.0
7.9740 0.0000 0.0000
0.0000 8.0331 0.0373
-3.9870 -3.9820 5.6407
Ce Pu Th S
1 3 4 8
Direct
0.0000 0.5000 0.0000
0.5000 0.5000 0.0000
0.5000 0.5000 0.5000
0.0000 0.5000 0.5000
0.5000 0.0000 0.0000
0.5000 0.0000 0.5000
0.0000 0.0000 0.0000
0.0000 0.0000 0.5000
0.2488 0.7412 0.9924
0.2488 0.7412 0.4975
0.2540 0.2620 0.5080
0.7437 0.7412 0.9924
0.2563 0.2588 0.0076
0.7460 0.7380 0.4920
0.7512 0.2588 0.5025
0.7512 0.2588 0.0076
```

* SG: R-3m
* formation energy from raw total energies: -1857 meV/atom
* crystal system: trigonal
* total DFT energy (no corrections): -8.83 eV/atom



Entry 5:
The following is a DFT calculation (PBE) of a relaxed La3ThCd2 crystal.

Geometry as POSCAR:
```
La3ThCd2
1.0
3.7129 0.0000 0.0000
0.0000 3.7129 0.0000
0.0000 0.0000 13.5952
La Th Cd
3 1 2
Direct
0.0000 0.0000 0.0000
0.0000 0.0000 0.6766
0.0000 0.0000 0.3234
0.5000 0.5000 0.5000
0.5000 0.5000 0.8398
0.5000 0.5000 0.1602
```

* SG: P4/mmm
* energy of formation from the pure elements: -0.2215 eV per atom
* crystal system: tetragonal
* total DFT energy (no corrections): -4.23 eV/atom